[1]
Density functional theory data (PBEsol) for a relaxed structure of HgGeIO2.

Geometry as POSCAR:
```
HgGeIO2
1.0
-0.6334 3.6096 -2.0627
-3.4403 0.7163 2.3099
3.2528 2.8366 3.9650
I Ge Hg O
1 1 1 2
direct
0.0000 0.0000 0.5000
0.5000 0.5000 0.5000
0.0000 0.0000 0.0000
0.0000 0.5000 0.0000
0.5000 0.0000 0.0000
```

Properties
DOS(E_F)   0.47 states/eV per atom
ρ   6923 kg/m³
Energy relative to the elements, uncorrected   2.442 eV per formula unit
Magnetization   0.25 μB per formula unit
Symmetry   No. 123

[2]
Density functional theory data (PBEsol) for a relaxed structure of TiHgGe2I.

Geometry as POSCAR:
```
TiHgGe2I
1.0
5.3592 0.0000 0.0000
0.0000 5.3592 0.0000
0.0000 0.0000 5.4415
I Ge Hg Ti
1 2 1 1
direct
0.0000 0.0000 0.0000
0.0000 0.5000 0.0000
0.5000 0.0000 0.0000
0.0000 0.0000 0.5000
0.5000 0.5000 0.5000
```

Properties
DOS(E_F)   1.21 states/eV per atom
ρ   5532 kg/m³
Energy relative to the elements, uncorrected   6.992 eV per formula unit
Magnetization   2.15 μB per formula unit
Symmetry   No. 123

[3]
Density functional theory data (PBEsol) for a relaxed structure of InHg2Ge2.

Geometry as POSCAR:
```
InHg2Ge2
1.0
4.5425 0.0000 0.0000
0.0000 4.5425 0.0000
-2.2712 -2.2712 5.7088
Ge Hg In
2 2 1
direct
0.3921 0.3921 0.7842
0.6079 0.6079 0.2158
0.2500 0.7500 0.5000
0.7500 0.2500 0.5000
0.0000 0.0000 0.0000
```

Properties
Energy   -13.03 eV/cell
DOS(E_F)   0.26 states/eV per atom
ρ   9322 kg/m³
Magnetization   0.00 μB per formula unit
Symmetry   No. 139

[4]
Density functional theory data (PBEsol) for a relaxed structure of Hg2GeIr2.

Geometry as POSCAR:
```
Hg2GeIr2
1.0
-3.1917 -2.1142 0.8796
-0.3666 -1.0178 -3.7763
5.4074 -3.4909 2.4590
Ge Ir Hg
1 2 2
direct
0.0000 0.0000 0.0000
0.4053 0.4053 0.8106
0.5947 0.5947 0.1894
0.2500 0.7500 0.5000
0.7500 0.2500 0.5000
```

Properties
Energy   -21.86 eV/cell
DOS(E_F)   0.99 states/eV per atom
ρ   14648 kg/m³
Magnetization   0.00 μB per formula unit
Symmetry   No. 139

[5]
Density functional theory data (PBEsol) for a relaxed structure of KHgGe3.

Geometry as POSCAR:
```
KHgGe3
1.0
5.3020 0.0000 0.0000
0.0000 5.3020 0.0000
0.0000 0.0000 5.3020
K Ge Hg
1 3 1
direct
0.5000 0.5000 0.5000
0.0000 0.5000 0.0000
0.0000 0.0000 0.5000
0.5000 0.0000 0.0000
0.0000 0.0000 0.0000
```

Properties
DOS(E_F)   0.71 states/eV per atom
ρ   5098 kg/m³
E above lowest polymorph   0.0000 eV per atom
Magnetization   0.00 μB per formula unit
Symmetry   No. 221

[6]
Density functional theory data (PBEsol) for a relaxed structure of KHgGe3.

Geometry as POSCAR:
```
KHgGe3
1.0
5.4600 0.0000 0.0000
0.0000 5.4600 0.0000
0.0000 0.0000 5.4600
K Ge Hg
1 3 1
direct
0.0000 0.0000 0.0000
0.0000 0.5000 0.0000
0.0000 0.0000 0.5000
0.5000 0.0000 0.0000
0.5000 0.5000 0.5000
```

Properties
DOS(E_F)   0.70 states/eV per atom
ρ   4668 kg/m³
E above lowest polymorph   0.9550 eV per atom
Magnetization   0.00 μB per formula unit
Symmetry   No. 221

[7]
Density functional theory data (PBEsol) for a relaxed structure of K2HgGeMo.

Geometry as POSCAR:
```
K2HgGeMo
1.0
4.8129 0.0000 0.0000
0.0000 6.5417 0.0000
0.0000 0.0000 6.5417
K Mo Ge Hg
2 1 1 1
direct
0.0000 0.0000 0.5000
0.0000 0.5000 0.0000
0.0000 0.0000 0.0000
0.5000 0.0000 0.0000
0.5000 0.5000 0.5000
```

Properties
Energy   -15.35 eV/cell
DOS(E_F)   0.54 states/eV per atom
ρ   3607 kg/m³
Magnetization   3.02 μB per formula unit
Symmetry   No. 123

[8]
Density functional theory data (PBEsol) for a relaxed structure of LaHgGe2Pt.

Geometry as POSCAR:
```
LaHgGe2Pt
1.0
-1.8568 -1.2948 4.2900
-4.0961 -1.3928 -2.1933
1.9193 -4.7125 -0.5916
Ge Hg Pt La
2 1 1 1
direct
0.0000 0.5000 0.0000
0.5000 0.0000 0.0000
0.0000 0.0000 0.5000
0.0000 0.0000 0.0000
0.5000 0.5000 0.5000
```

Properties
Energy   -23.48 eV/cell
DOS(E_F)   0.88 states/eV per atom
ρ   9367 kg/m³
Magnetization   0.00 μB per formula unit
Symmetry   No. 123

[9]
Density functional theory data (PBEsol) for a relaxed structure of Li2HgGe2.

Geometry as POSCAR:
```
Li2HgGe2
1.0
-1.1689 2.6546 0.0403
-6.1886 -2.7820 3.7580
3.4777 1.4283 6.7842
Ge Hg Li
4 2 4
direct
0.0000 0.3869 0.8869
0.0000 0.8869 0.6131
0.0000 0.6131 0.1131
0.0000 0.1131 0.3869
0.0000 0.0000 0.0000
0.0000 0.5000 0.5000
0.5000 0.1883 0.6883
0.5000 0.6883 0.8117
0.5000 0.8117 0.3117
0.5000 0.3117 0.1883
```

Properties
DOS(E_F)   0.37 states/eV per atom
ρ   6846 kg/m³
E above lowest polymorph   0.0000 eV per atom
Magnetization   0.00 μB per formula unit
Symmetry   No. 127

[10]
Density functional theory data (PBEsol) for a relaxed structure of Li2HgGe2.

Geometry as POSCAR:
```
Li2HgGe2
1.0
3.9432 0.0000 0.0000
0.0000 3.9432 0.0000
-1.9716 -1.9716 5.8782
Ge Hg Li
2 1 2
direct
0.4003 0.4003 0.8006
0.5997 0.5997 0.1994
0.0000 0.0000 0.0000
0.2500 0.7500 0.5000
0.7500 0.2500 0.5000
```

Properties
DOS(E_F)   0.22 states/eV per atom
ρ   6536 kg/m³
E above lowest polymorph   0.1574 eV per atom
Magnetization   0.00 μB per formula unit
Symmetry   No. 139

[11]
Density functional theory data (PBEsol) for a relaxed structure of Li2HgGe.

Geometry as POSCAR:
```
Li2HgGe
1.0
-2.7610 -2.0550 2.8898
-3.4367 -2.4556 -1.5351
0.0846 -4.4762 0.3923
Ge Hg Li
1 1 2
direct
0.0000 0.0000 0.0000
0.5000 0.5000 0.5000
0.2500 0.2500 0.2500
0.7500 0.7500 0.7500
```

Properties
Energy   -10.71 eV/cell
DOS(E_F)   0.31 states/eV per atom
ρ   7428 kg/m³
Magnetization   0.00 μB per formula unit
Symmetry   No. 225

[12]
Density functional theory data (PBEsol) for a relaxed structure of MgHg2Ge2.

Geometry as POSCAR:
```
MgHg2Ge2
1.0
3.6409 0.0000 0.0000
0.0000 3.6409 0.0000
-1.8205 -1.8205 8.1572
Mg Ge Hg
1 2 2
direct
0.0000 0.0000 0.0000
0.2500 0.7500 0.5000
0.7500 0.2500 0.5000
0.4031 0.4031 0.8063
0.5969 0.5969 0.1937
```

Properties
Energy   -12.40 eV/cell
DOS(E_F)   0.42 states/eV per atom
ρ   8765 kg/m³
Magnetization   0.00 μB per formula unit
Symmetry   No. 139